VASP calculation (PBE) on an optimized crystal structure of Na2TcCl.

The structure in POSCAR format:
```
Na2TcCl
1.0
-1.5859 -4.9103 1.1053
-3.8248 -0.8021 3.5462
-4.7562 -1.6546 -1.5776
Na Tc Cl
2 1 1
Direct
0.2500 0.2500 0.2500 Na
0.7500 0.7500 0.7500 Na
0.5000 0.5000 0.5000 Tc
0.0000 0.0000 0.0000 Cl
```

Properties
Volume: 26.0 Å³/atom
Formation energy (no corrections): 0.627 eV per atom
E_tot: -12.344 eV/cell